Record 1
Tb4Pu3ScS8 after structural relaxation, computed with GGA-PBE.

```
Tb4Pu3ScS8
1.0
-6.3901 -0.5591 4.4462
-4.3142 -1.4265 -6.3797
6.2331 -4.4339 1.5505
Tb Pu Sc S
4 3 1 8
direct
0.5000 0.0000 0.0000
0.5000 0.0000 0.5000
0.0000 0.0000 0.0000
0.0000 0.0000 0.5000
0.5000 0.5000 0.0000
0.5000 0.5000 0.5000
0.0000 0.5000 0.5000
0.0000 0.5000 0.0000
0.2446 0.7456 0.0010
0.2446 0.7456 0.4891
0.2497 0.2491 0.4994
0.7564 0.7456 0.0010
0.2436 0.2544 0.9990
0.7503 0.7509 0.5006
0.7554 0.2544 0.5109
0.7554 0.2544 0.9990
```

Properties
* total moment: 17.08 μB per formula unit
* space-group type: R-3m (166)
* total DFT energy (no corrections): -8.22 eV/atom

Record 2
Pa2SnPt9 after structural relaxation, computed with GGA-PBE.

```
Pa2SnPt9
1.0
-4.0180 -0.1180 1.0862
0.5714 -3.7553 1.7057
2.7556 5.3113 10.7701
Pa Sn Pt
2 1 9
direct
0.0000 0.0000 0.3281
0.0000 0.0000 0.6719
0.0000 0.0000 0.0000
0.5000 0.5000 0.0000
0.5000 0.5000 0.3314
0.5000 0.5000 0.6686
0.5000 0.0000 0.1669
0.5000 0.0000 0.5000
0.5000 0.0000 0.8331
0.0000 0.5000 0.1669
0.0000 0.5000 0.5000
0.0000 0.5000 0.8331
```

Properties
* formation enthalpy at 0 K: -767 meV/atom
* total moment: 0.14 μB per formula unit
* space-group type: P4/mmm (123)
* total DFT energy (no corrections): -7.21 eV/atom

Record 3
HoTm2BiC after structural relaxation, computed with GGA-PBE.

```
HoTm2BiC
1.0
4.9137 0.0000 0.0000
0.0000 4.8430 0.0000
0.0000 0.0000 4.8430
Ho Tm Bi C
1 2 1 1
direct
0.5000 0.0000 0.0000
0.0000 0.0000 0.5000
0.0000 0.5000 0.0000
0.5000 0.5000 0.5000
0.0000 0.0000 0.0000
```

Properties
* formation enthalpy at 0 K: -536 meV/atom
* total moment: 0.00 μB per formula unit
* space-group type: P4/mmm (123)
* total DFT energy (no corrections): -5.86 eV/atom

Record 4
YMnSCl2 after structural relaxation, computed with GGA-PBE.

```
YMnSCl2
1.0
5.2845 0.0000 0.0000
0.0000 5.2845 0.0000
0.0000 0.0000 5.2901
Y S Mn Cl
1 1 1 2
direct
0.0000 0.0000 0.0000
0.0000 0.0000 0.5000
0.5000 0.5000 0.5000
0.0000 0.5000 0.0000
0.5000 0.0000 0.0000
```

Properties
* total moment: 5.92 μB per formula unit
* space-group type: P4/mmm (123)
* total DFT energy (no corrections): -5.62 eV/atom

Record 5
CaHgPS2 after structural relaxation, computed with GGA-PBE.

```
CaHgPS2
1.0
-1.5072 -2.2160 4.3813
-2.2834 -3.7409 -2.6776
4.1251 -2.5943 0.1068
S P Ca Hg
2 1 1 1
direct
0.0000 0.5000 0.0000
0.5000 0.0000 0.0000
0.0000 0.0000 0.5000
0.5000 0.5000 0.5000
0.0000 0.0000 0.0000
```

Properties
* total moment: 1.24 μB per formula unit
* space-group type: P4/mmm (123)
* total DFT energy (no corrections): -3.06 eV/atom

Record 6
Nd2CuSe2O2 after structural relaxation, computed with GGA-PBE.

```
Nd2CuSe2O2
1.0
-2.6390 0.5496 -2.9442
3.2681 -2.2027 -0.6344
-5.7214 -9.4573 3.3629
Nd Cu Se O
2 1 2 2
direct
0.6667 0.3333 0.3693
0.3333 0.6667 0.6307
0.0000 0.0000 0.0000
0.0000 0.0000 0.8078
0.0000 0.0000 0.1922
0.6667 0.3333 0.5778
0.3333 0.6667 0.4222
```

Properties
* total moment: 0.00 μB per formula unit
* space-group type: P-3m1 (164)
* total DFT energy (no corrections): -6.34 eV/atom

Record 7
KFeRe after structural relaxation, computed with GGA-PBE.

```
KFeRe
1.0
-3.8946 -5.9828 -1.3898
-2.9598 -6.0782 2.6813
1.6695 7.0752 -0.2176
Fe K Re
1 1 1
direct
0.0393 0.0393 0.0000
0.3350 0.3350 0.0000
0.6257 0.6257 0.0000
```

Properties
* formation enthalpy at 0 K: 933 meV/atom
* total moment: 1.79 μB per formula unit
* space-group type: I4mm (107)
* total DFT energy (no corrections): -6.40 eV/atom

Record 8
NbVS after structural relaxation, computed with GGA-PBE.

```
NbVS
1.0
-2.4822 -1.1943 1.6373
0.2810 -2.7667 -1.5922
6.1739 -3.3524 6.9145
S V Nb
2 2 2
direct
0.0000 0.5000 0.6520
0.5000 0.0000 0.3480
0.5000 0.0000 0.7482
0.0000 0.5000 0.2518
0.0000 0.5000 0.9159
0.5000 0.0000 0.0841
```

Properties
* total moment: 0.00 μB per formula unit
* space-group type: P4/nmm (129)
* total DFT energy (no corrections): -8.33 eV/atom

Record 9
Sr2YAs after structural relaxation, computed with GGA-PBE.

```
Sr2YAs
1.0
3.7913 0.0216 0.0000
-0.0310 3.7933 0.0000
0.0000 0.0000 9.9046
Y Sr As
1 2 1
direct
0.5000 0.5000 0.2500
0.0000 0.0000 0.9304
0.0000 0.0000 0.5696
0.5000 0.5000 0.7500
```

Properties
* formation enthalpy at 0 K: -351 meV/atom
* total moment: 0.13 μB per formula unit
* space-group type: Cmmm (65)
* total DFT energy (no corrections): -3.97 eV/atom

Record 10
CuHgAu3 after structural relaxation, computed with GGA-PBE.

```
CuHgAu3
1.0
-2.9229 -1.1326 -3.6782
-1.0873 -4.1875 2.1534
-3.6918 2.1299 2.2779
Au Hg Cu
3 1 1
direct
0.0000 0.5000 0.0000
0.0000 0.0000 0.5000
0.5000 0.0000 0.0000
0.5000 0.5000 0.5000
0.0000 0.0000 0.0000
```

Properties
* formation enthalpy at 0 K: 484 meV/atom
* total moment: 0.00 μB per formula unit
* space-group type: Pm-3m (221)
* total DFT energy (no corrections): -2.36 eV/atom

Record 11
Y12Tm6Pu after structural relaxation, computed with GGA-PBE.

```
Y12Tm6Pu
1.0
8.8420 -0.6046 -3.0169
-4.0322 7.8922 -3.0169
-0.3990 -0.6046 9.3340
Y Tm Pu
12 6 1
direct
0.3741 0.0587 0.5833
0.0587 0.5833 0.3741
0.5833 0.3741 0.0587
0.6259 0.9413 0.4167
0.9413 0.4167 0.6259
0.4167 0.6259 0.9413
0.1043 0.1551 0.7386
0.2614 0.8957 0.8449
0.8449 0.2614 0.8957
0.8957 0.8449 0.2614
0.7386 0.1043 0.1551
0.1551 0.7386 0.1043
0.2105 0.3141 0.4698
0.6859 0.5302 0.7895
0.5302 0.7895 0.6859
0.7895 0.6859 0.5302
0.3141 0.4698 0.2105
0.4698 0.2105 0.3141
0.0000 0.0000 0.0000
```

Properties
* formation enthalpy at 0 K: 41 meV/atom
* total moment: 6.45 μB per formula unit
* space-group type: R-3 (148)
* total DFT energy (no corrections): -6.21 eV/atom

Record 12
RbAuBr6 after structural relaxation, computed with GGA-PBE.

```
RbAuBr6
1.0
6.6187 -0.4797 -0.5427
-1.1997 6.5267 -0.5427
-1.1997 -1.3388 6.4110
Rb Au Br
1 1 6
direct
0.0000 0.0000 0.0000
0.5000 0.5000 0.5000
0.2053 0.5584 0.2053
0.2053 0.2053 0.5584
0.7947 0.4416 0.7947
0.4416 0.7947 0.7947
0.7947 0.7947 0.4416
0.5584 0.2053 0.2053
```

Properties
* total moment: 0.00 μB per formula unit
* space-group type: R-3m (166)
* total DFT energy (no corrections): -2.17 eV/atom